# CsHRu2Cl

A relaxed structure of CsHRu2Cl (PBE-GGA, Alexandria).

Results
Final energy in hartree per atom: -0.154
M_tot in μB/cell: 4.8
Symmetry: No. 123
Mass density in kg/m3: 4885
V in Å³ per cell: 126.3

Unit cell a=4.128 b=4.128 c=7.411 alpha=90.00 beta=90.00 gamma=90.00
Fractional coordinates of all 5 atoms:
Cs 0.000 0.000 0.000
H 0.500 0.500 0.500
Ru 0.000 0.500 0.500
Ru 0.500 0.000 0.500
Cl 0.500 0.500 0.000